Material: BTePOs2
Method: DFT, PBE
State: optimized geometry

Calculated values
Uncorrected formation energy, eV/f.u.: 5.87
Total magnetization, μB per formula unit: 0.00
Energy above the lowest structure with this stoichiometry, eV/f.u.: 0.00
D(E_F), states/eV/cell: 2.88

Unit cell a=4.6234 b=3.7116 c=4.6234 alpha=90.00 beta=90.00 gamma=90.00
Last column: nearest neighbours and their distance in Å.
Atoms (fractional coordinates):
P (0.0000, 0.0000, 0.0000)  2 B 1.86
Te (0.5000, 0.5000, 0.5000)  8 Os 2.96, 4 B 3.27
Os (0.0000, 0.0000, 0.5000)  2 P 2.31
Os (0.5000, 0.0000, 0.0000)  2 P 2.31
B (0.0000, 0.5000, 0.0000)  2 P 1.86